# BeAl2Zn

A relaxed structure of BeAl2Zn (GGA-PBE, the Alexandria database).

Cell lengths 2.7326, 3.7550, 5.5685 Å; angles 90.00, 90.08, 90.00 degrees
Space group P2/m (No. 10)
Symmetry-distinct sites (fractional):
Be 0.0000 0.0000 0.0000
Al 0.4991 0.5000 0.7652
Zn 0.0000 0.0000 0.5000

Calculated values
**Magnetization**: 0.000 μB per atom
**Excess energy over the best structure of this formula in the dataset**: 44.6 meV per atom
**ΔH_f (0 K)**: 162 meV/atom